Entry w
Cs3LiI4, optimized geometry, DFT PBE; volume = 62.26 Å³ per atom; M_tot = 0.00 μB/f.u.; density of states at the Fermi level = 0.0000 states/eV per atom
1.0
12.485 0.000 0.000
0.000 10.335 0.000
0.000 0.000 7.720
Cs Li I
6 2 8
direct
0.000 0.133 0.000
0.228 0.332 0.503
0.272 0.668 0.003
0.500 0.867 0.500
0.728 0.668 0.003
0.772 0.332 0.503
0.000 0.819 0.429
0.500 0.181 0.929
0.000 0.090 0.501
0.000 0.781 0.069
0.208 0.703 0.509
0.292 0.297 0.009
0.500 0.219 0.569
0.500 0.910 0.001
0.708 0.297 0.009
0.792 0.703 0.509

---

Entry x
Cs3LiI4, optimized geometry, DFT PBE; volume = 59.91 Å³ per atom; M_tot = 0.00 μB/f.u.; density of states at the Fermi level = 0.0000 states/eV per atom
1.0
5.118 0.000 0.000
0.000 15.520 0.000
0.000 0.000 12.068
Cs Li I
6 2 8
direct
0.250 0.085 0.179
0.250 0.415 0.179
0.250 0.750 0.365
0.750 0.250 0.635
0.750 0.585 0.821
0.750 0.915 0.821
0.250 0.250 0.918
0.750 0.750 0.082
0.250 0.099 0.803
0.250 0.250 0.404
0.250 0.401 0.803
0.250 0.750 0.960
0.750 0.250 0.040
0.750 0.599 0.197
0.750 0.750 0.596
0.750 0.901 0.197

---

Relative energy table, unit eV/atom: entry w 0.013; entry x 0.000